# 1
The following is a PBE calculation of crystalline KRbTcCl6 at its relaxed geometry, from the Alexandria database.

**Total DFT energy (no corrections)**: -70.52 eV for the cell shown

The structure in CIF format:
```
data_KRbTcCl6
_symmetry_space_group_name_H-M 'P -3 1 c'
_symmetry_Int_Tables_number 163
_symmetry_space_group_name_Hall '-P 3 2c'
_cell_length_a 7.5505
_cell_length_b 7.5505
_cell_length_c 12.6074
_cell_angle_alpha 90.00
_cell_angle_beta 90.00
_cell_angle_gamma 120.00
loop_
_atom_site_label
_atom_site_fract_x
_atom_site_fract_y
_atom_site_fract_z
_atom_site_occupancy
K1 0.3333 0.6667 0.2500 1
Rb1 0.0000 0.0000 0.0000 1
Tc1 0.3333 0.6667 0.7500 1
Cl1 0.0753 0.4112 0.6403 1
```

# 2
The following is a PBE calculation of crystalline Na2CaTl4 at its relaxed geometry, from the Alexandria database.

**Total DFT energy (no corrections)**: -30.64 eV for the cell shown
**Calculated formation energy**: -174 meV/atom

The structure in CIF format:
```
data_Na2CaTl4
_symmetry_space_group_name_H-M 'I m m m'
_symmetry_Int_Tables_number 71
_symmetry_space_group_name_Hall '-I 2 2'
_cell_length_a 3.586
_cell_length_b 5.186
_cell_length_c 21.996
_cell_angle_alpha 90.00
_cell_angle_beta 90.00
_cell_angle_gamma 90.00
loop_
_atom_site_label
_atom_site_fract_x
_atom_site_fract_y
_atom_site_fract_z
_atom_site_occupancy
Na1 0.000 0.000 0.202 1
Ca1 0.000 0.500 0.000 1
Tl1 0.000 0.000 0.351 1
Tl2 0.000 0.500 0.430 1
```